## SmCoPd (PBE)

Data for a relaxed SmCoPd crystal.

Geometry as extended XYZ:
```
6
Lattice="3.4330 0.0000 0.0000 0.0000 3.4330 0.0000 0.0000 0.0000 9.5081" Properties=species:S:1:pos:R:3 pbc="T T T"
Sm 0.0000 0.0000 1.7104
Sm 0.0000 0.0000 7.7977
Co 0.0000 0.0000 4.7541
Co 1.7165 1.7165 0.0000
Pd 1.7165 1.7165 3.4249
Pd 1.7165 1.7165 6.0832
```

Properties
- Electronic total energy: -5.8281 eV per atom
- Space group: P4/mmm (123)
- Total magnetic moment: 1.4 Bohr magnetons per cell
- ΔH_f (0 K): -0.16 eV/atom
- V: 18.677 Å³ per atom